# 1
A relaxed BaHfHg crystal, computed with PBE-GGA.

The structure belongs to space group I4mm (No. 107); the cell edges are 3.664, 3.664 and 13.561 Å and the angles 90.00°, 90.00° and 90.00°. The asymmetric unit holds Ba at (0.000, 0.000, 0.000), Hf at (0.000, 0.000, 0.705) and Hg at (0.000, 0.000, 0.306).

For the total energy, the calculation gives -3.861 eV per atom.


# 2
A relaxed Pm2Si crystal, computed with PBE-GGA.

The structure belongs to space group Fd-3m (No. 227, origin choice 2); the cell edges are 8.692, 8.692 and 8.692 Å and the angles 90.00°, 90.00° and 90.00°. The asymmetric unit holds Pm at (0.000, 0.000, 0.000) and Si at (0.125, 0.125, 0.625).

For the total energy, the calculation gives -4.508 eV per atom.